Entry from Alexandria via LeMat-Bulk: a relaxed structure of Y3Se4 (PBE).

It has space group C2/m (No. 12), with a = 14.043 Å, b = 8.191 Å, c = 13.982 Å, α = 90.00°, β = 109.10° and γ = 90.00°. The asymmetric unit holds Y at (0.000, 0.000, 0.000), Y at (0.000, 0.000, 0.500), Y at (0.003, 0.258, 0.254), Y at (0.243, 0.500, 0.746), Y at (0.250, 0.250, 0.000), Y at (0.250, 0.250, 0.500), Se at (0.121, 0.500, 0.878), Se at (0.124, 0.248, 0.625), Se at (0.125, 0.000, 0.374), Se at (0.125, 0.000, 0.872), Se at (0.127, 0.244, 0.126) and Se at (0.128, 0.500, 0.375).

For the energy above the most stable polymorph in this dataset, the calculation gives 0.000 eV per formula unit. The calculation puts the uncorrected formation energy at -1.86 eV per atom.